# 1
DFT (PBE) results for ZnPb after structural relaxation.

The structure in POSCAR format:
```
ZnPb
1.0
-2.185 1.638 -4.558
1.969 -2.328 -1.780
-3.831 -3.642 0.527
Zn Pb
2 2
direct
0.836 0.500 0.500
0.997 0.000 0.000
0.303 0.000 0.500
0.531 0.500 0.000
```

Properties
Energy   -4.576 eV per formula unit
SG   Pmmn

---

# 2
DFT (PBE) results for ZnPb after structural relaxation.

The structure in POSCAR format:
```
ZnPb
1.0
-0.770 -5.499 -4.494
-0.858 -0.980 7.024
-4.379 0.943 -0.403
Zn Pb
4 4
direct
0.461 0.539 0.000
0.461 0.923 0.000
0.077 0.539 0.000
0.333 0.667 0.500
0.816 0.184 0.500
0.816 0.632 0.500
0.000 0.000 0.000
0.368 0.184 0.500
```

Properties
Energy   -4.611 eV per formula unit
SG   P-6m2

---

# 3
DFT (PBE) results for Zn3Pb after structural relaxation.

The structure in POSCAR format:
```
Zn3Pb
1.0
-5.019 3.121 -0.029
-1.688 -2.761 -4.965
-1.955 -3.122 2.401
Zn Pb
6 2
direct
0.440 0.000 0.500
0.798 0.740 0.500
0.894 0.500 0.000
0.535 0.240 0.000
0.798 0.260 0.500
0.535 0.760 0.000
0.266 0.500 0.500
0.068 0.000 0.000
```

Properties
Energy   -7.059 eV per formula unit
SG   Pmmn

---

# 4
DFT (PBE) results for Zn4Pb3 after structural relaxation.

The structure in POSCAR format:
```
Zn4Pb3
1.0
5.621 6.492 0.000
-2.805 8.110 0.000
0.000 0.000 5.092
Zn Pb
8 6
direct
0.963 0.004 0.000
0.990 0.234 0.500
0.605 0.105 0.000
0.091 0.491 0.500
0.347 0.133 0.500
0.810 0.952 0.500
0.861 0.747 0.000
0.143 0.286 0.000
0.754 0.410 0.000
0.198 0.828 0.500
0.685 0.689 0.500
0.407 0.897 0.000
0.546 0.341 0.500
0.268 0.550 0.000
```

Properties
Energy   -14.917 eV per formula unit
SG   P2_1/m

---

# 5
DFT (PBE) results for ZnPb after structural relaxation.

The structure in POSCAR format:
```
ZnPb
1.0
-0.670 5.535 -0.678
-3.592 -1.233 -6.519
-4.016 -0.210 2.253
Zn Pb
4 4
direct
0.355 0.500 0.500
0.448 0.702 0.000
0.063 0.500 0.000
0.448 0.298 0.000
0.834 0.289 0.500
0.384 0.000 0.500
0.834 0.711 0.500
0.967 0.000 0.000
```

Properties
Energy   -4.640 eV per formula unit
SG   Pmm2

---

# 6
DFT (PBE) results for ZnPb after structural relaxation.

The structure in POSCAR format:
```
ZnPb
1.0
7.143 -1.759 0.000
0.025 7.314 0.000
0.000 0.000 5.619
Pb Zn
6 6
direct
0.823 0.697 0.500
0.399 0.358 0.000
0.921 0.484 0.000
0.917 0.208 0.500
0.301 0.571 0.500
0.305 0.847 0.000
0.552 0.940 0.500
0.010 0.050 0.000
0.213 0.005 0.500
0.533 0.288 0.500
0.670 0.115 0.000
0.689 0.768 0.000
```

Properties
Energy   -4.693 eV per formula unit
SG   P2_1/m

---

# 7
DFT (PBE) results for ZnPb after structural relaxation.

The structure in POSCAR format:
```
ZnPb
1.0
3.134 -1.194 2.439
-0.112 0.810 4.065
-0.545 -3.087 2.715
Pb Zn
1 1
direct
0.000 0.000 0.000
0.500 0.500 0.500
```

Properties
Energy   -4.538 eV per formula unit
SG   Fm-3m

---

# 8
DFT (PBE) results for Zn3Pb after structural relaxation.

The structure in POSCAR format:
```
Zn3Pb
1.0
-3.686 -4.762 2.209
1.664 0.160 -6.193
3.574 -2.349 0.900
Zn Pb
6 2
direct
0.810 0.190 0.500
0.523 0.477 0.000
0.380 0.190 0.500
0.810 0.620 0.500
0.953 0.477 0.000
0.523 0.047 0.000
0.333 0.667 0.500
0.000 0.000 0.000
```

Properties
Energy   -6.903 eV per formula unit
SG   P6_3/mmc